The following is a meta-GGA SCAN calculation of a crystal of SrMg2O relaxed with PBEsol, from the Alexandria database.

Properties
**Fermi-level density of states**: 2.35 states/eV/f.u.
**Formation energy from raw total energies**: -1.06 eV per atom

Cell: 6.548 6.548 6.548 Å, 60.00 60.00 60.00°
Fractional coordinates of all 8 atoms:
1 Mg 0.125 0.125 0.625
2 Mg 0.125 0.125 0.125
3 Mg 0.625 0.125 0.125
4 Mg 0.125 0.625 0.125
5 Sr 0.750 0.750 0.750
6 Sr 0.500 0.500 0.500
7 O 0.250 0.250 0.250
8 O 0.000 0.000 0.000